LaFeSe2 | GGA-PBE | optimized geometry

It has space group Imm2 (No. 44), with a = 3.7141 Å, b = 3.8836 Å, c = 12.8267 Å, α = 90.00°, β = 90.00° and γ = 90.00°. The inequivalent atoms are La at (0.0000, 0.0000, 0.0000), Fe at (0.0000, 0.5000, 0.2557), Se at (0.0000, 0.0000, 0.6060) and Se at (0.0000, 0.5000, 0.8245).

For the excess energy over the best structure of this formula in the dataset, the calculation gives 166 meV per atom. The density of states at the Fermi level comes out at 4.18 states/eV per cell.